Record 1
This record from the Alexandria database describes a relaxed structure of ZrHgAs2. The functional is PBE.

Cell: 3.0600 3.0600 10.3170 Å, 90.00 90.00 102.36°
Fractional coordinates of all 4 atoms:
Hg: 0.5000 0.5000 0.2500
As: 0.0000 0.0000 0.9452
As: 0.0000 0.0000 0.5548
Zr: 0.5000 0.5000 0.7500

As for the crystal system: orthorhombic. The formation energy comes out at -0.318 eV/atom. The space group is No. 65.

Record 2
This record from the Alexandria database describes a relaxed structure of Sr3Tl4In2Sb2. The functional is PBE.

Cell: 4.8051 4.8051 16.4126 Å, 98.42 98.42 90.00°
Fractional coordinates of all 11 atoms:
In: 0.5437 0.5437 0.0875
Sr: 0.0000 0.0000 0.0000
Tl: 0.3874 0.8874 0.7748
Tl: 0.1126 0.6126 0.2252
Sr: 0.7958 0.7958 0.5916
Tl: 0.8874 0.3874 0.7748
Tl: 0.6126 0.1126 0.2252
Sb: 0.3096 0.3096 0.6191
Sb: 0.6904 0.6904 0.3809
Sr: 0.2042 0.2042 0.4084
In: 0.4563 0.4563 0.9125

As for the crystal system: tetragonal. As for the total energy: -2.917 eV per atom. The space group is No. 139.

Record 3
This record from the Alexandria database describes a relaxed structure of BMoSeN2. The functional is PBE.

Cell: 3.8329 3.8329 5.3514 Å, 90.00 90.00 90.00°
Fractional coordinates of all 5 atoms:
B: 0.5000 0.5000 0.5000
N: 0.5000 0.0000 0.0000
Mo: 0.0000 0.0000 0.0000
N: 0.0000 0.5000 0.0000
Se: 0.0000 0.0000 0.5000

As for the crystal system: tetragonal. The value obtained for the polymorph energy (0 for the lowest one) is 0.00 eV per formula unit. The space group is No. 123.

Record 4
This record from the Alexandria database describes a relaxed structure of Mg4PaN4. The functional is PBE.

Cell: 3.7901 6.1267 6.1266 Å, 84.52 71.98 71.98°
Site moments in Bohr magnetons follow the coordinates.
Fractional coordinates of all 9 atoms:
N: 0.0839 0.6614 0.1707  0.00
Mg: 0.6550 0.5038 0.1863  0.00
Mg: 0.1588 0.1862 0.4962  0.00
N: 0.2548 0.8292 0.6613  0.00
Mg: 0.8412 0.8138 0.5038  0.00
Pa: 0.0000 0.0000 0.0000  0.09
N: 0.7452 0.1708 0.3387  0.00
Mg: 0.3450 0.4962 0.8137  0.00
N: 0.9161 0.3386 0.8293  0.00

As for the crystal system: tetragonal. As for the total energy: -6.438 eV per atom. The space group is No. 87.

Record 5
This record from the Alexandria database describes a relaxed structure of KBeP2. The functional is PBE.

Cell: 3.2623 3.2622 6.9937 Å, 90.00 90.00 90.02°
Fractional coordinates of all 4 atoms:
P: 0.0000 0.0000 0.0796
K: 0.5000 0.5000 0.7539
P: 0.5000 0.5000 0.2948
Be: 0.0000 0.0000 0.3718

As for the crystal system: tetragonal. The formation energy comes out at 0.303 eV/atom. The space group is No. 99.

Record 6
This record from the Alexandria database describes a relaxed structure of Sr2AgHg. The functional is PBE.

Cell: 5.4222 5.4222 5.4222 Å, 60.00 60.00 60.00°
Fractional coordinates of all 4 atoms:
Ag: 0.5000 0.5000 0.5000
Sr: 0.2500 0.2500 0.2500
Sr: 0.0000 0.0000 0.0000
Hg: 0.7500 0.7500 0.7500

As for the crystal system: cubic. The formation energy comes out at -0.152 eV/atom. The space group is No. 216.

Record 7
This record from the Alexandria database describes a relaxed structure of TbSm2Se2S2. The functional is PBE.

Cell: 5.1016 5.1016 8.2148 Å, 108.09 108.09 90.00°
Fractional coordinates of all 7 atoms:
Sm: 0.3788 0.3788 0.7576
S: 0.5000 0.0000 0.0000
Sm: 0.6212 0.6212 0.2424
Se: 0.8113 0.8113 0.6227
S: 0.0000 0.5000 0.0000
Tb: 0.0000 0.0000 0.0000
Se: 0.1887 0.1887 0.3773

As for the crystal system: tetragonal. As for the total energy: -5.744 eV per atom. The space group is No. 139.

Record 8
This record from the Alexandria database describes a relaxed structure of Mg2ZrMn. The functional is PBE.

Cell: 5.9700 5.9700 4.7882 Å, 66.36 66.36 30.48°
Site moments in Bohr magnetons follow the coordinates.
Fractional coordinates of all 4 atoms:
Mn: 0.2500 0.2500 0.2500  3.11
Zr: 0.7500 0.7500 0.7500  -0.40
Mg: 0.9732 0.9732 0.0269  -0.01
Mg: 0.5268 0.5268 0.4731  -0.01

As for the crystal system: orthorhombic. The formation energy comes out at 0.172 eV/atom. The space group is No. 71.